Entry from the Alexandria database: VSnO2 after structural relaxation (GGA+U).

As for the crystal system: trigonal. The calculation puts the calculated volume at 73.8 Å³/f.u. As for the final energy: -6.2193 eV/atom.

It has space group R-3m (No. 166, hexagonal axes), with a = 3.6826 Å, b = 3.6826 Å, c = 18.8637 Å, α = 90.00°, β = 90.00° and γ = 120.00°. The inequivalent atoms are V at (0.0000, 0.0000, 0.0000), Sn at (0.0000, 0.0000, 0.5000) and O at (0.0000, 0.0000, 0.0971).